VASP calculation (GGA-PBE) on KNa2Sb2 after structural relaxation.

Cell: 9.5859 9.5859 3.2472 Å, 90.00 90.00 90.00°
Positions (direct):
K1 0.0000 0.0000 0.0000
K2 0.5000 0.5000 0.0000
Na1 0.1209 0.3791 0.0000
Na2 0.3791 0.8791 0.0000
Na3 0.6209 0.1209 0.0000
Na4 0.8791 0.6209 0.0000
Sb1 0.1743 0.6743 0.5000
Sb2 0.3257 0.1743 0.5000
Sb3 0.6743 0.8257 0.5000
Sb4 0.8257 0.3257 0.5000

E above lowest polymorph	0.0	meV per atom
formation energy from raw total energies	-0.36	eV per atom
raw total energy	-2.760	eV per atom

***

VASP calculation (GGA-PBE) on K4NaSb2 after structural relaxation.

Cell: 11.4480 11.4480 11.4480 Å, 30.49 30.49 30.49°
Positions (direct):
K1 0.0997 0.0997 0.0997
K2 0.2972 0.2972 0.2972
K3 0.7028 0.7028 0.7028
K4 0.9003 0.9003 0.9003
Na1 0.5000 0.5000 0.5000
Sb1 0.4079 0.4079 0.4079
Sb2 0.5921 0.5921 0.5921

formation energy from raw total energies	-0.31	eV per atom
raw total energy	-2.308	eV per atom

***

VASP calculation (GGA-PBE) on KNa2Sb after structural relaxation.

Cell: 11.1385 11.1385 11.1385 Å, 151.28 151.28 41.06°
Positions (direct):
K1 0.0000 0.0000 0.0000
K2 0.7500 0.2500 0.5000
Na1 0.2355 0.6250 0.1105
Na2 0.3750 0.4855 0.6105
Na3 0.5145 0.1250 0.8895
Na4 0.8750 0.7645 0.3895
Sb1 0.2500 0.7500 0.5000
Sb2 0.5000 0.5000 0.0000

formation energy from raw total energies	-0.19	eV per atom
raw total energy	-2.151	eV per atom

***

VASP calculation (GGA-PBE) on K2Na2Sb3 after structural relaxation.

Cell: 7.0912 7.0912 8.1669 Å, 118.28 118.28 43.33°
Positions (direct):
K1 0.1499 0.1499 0.2815
K2 0.8501 0.8501 0.7185
Na1 0.1380 0.1380 0.7677
Na2 0.8620 0.8620 0.2323
Sb1 0.4169 0.4169 0.0614
Sb2 0.5000 0.5000 0.5000
Sb3 0.5831 0.5831 0.9386

formation energy from raw total energies	-0.37	eV per atom
raw total energy	-2.826	eV per atom

***

VASP calculation (GGA-PBE) on K2Na2Sb after structural relaxation.

Cell: 8.1339 8.1339 6.0449 Å, 90.00 90.00 90.00°
Positions (direct):
K1 0.2007 0.2993 0.0000
K2 0.2993 0.7993 0.0000
K3 0.7007 0.2007 0.0000
K4 0.7993 0.7007 0.0000
Na1 0.1504 0.6504 0.5000
Na2 0.3496 0.1504 0.5000
Na3 0.6504 0.8496 0.5000
Na4 0.8496 0.3496 0.5000
Sb1 0.0000 0.0000 0.5000
Sb2 0.5000 0.5000 0.5000

formation energy from raw total energies	-0.20	eV per atom
raw total energy	-1.991	eV per atom

***

VASP calculation (GGA-PBE) on KNa2Sb after structural relaxation.

Cell: 5.1848 5.1848 4.8424 Å, 90.00 90.00 90.00°
Positions (direct):
K1 0.0000 0.0000 0.0000
Na1 0.0000 0.5000 0.5000
Na2 0.5000 0.0000 0.5000
Sb1 0.5000 0.5000 0.0000

formation energy from raw total energies	-0.22	eV per atom
raw total energy	-2.187	eV per atom

***

VASP calculation (GGA-PBE) on KNaSbSe3 after structural relaxation.

Cell: 8.0393 3.9341 11.8258 Å, 90.00 94.60 90.00°
Positions (direct):
K1 0.1318 0.2500 0.3316
K2 0.8682 0.7500 0.6684
Na1 0.2758 0.7500 0.9951
Na2 0.7242 0.2500 0.0049
Sb1 0.3416 0.2500 0.7186
Sb2 0.6584 0.7500 0.2814
Se1 0.0992 0.2500 0.8466
Se2 0.2387 0.7500 0.5641
Se3 0.4498 0.2500 0.1683
Se4 0.5502 0.7500 0.8317
Se5 0.7613 0.2500 0.4359
Se6 0.9008 0.7500 0.1534

formation energy from raw total energies	-0.69	eV per atom
raw total energy	-3.518	eV per atom

***

VASP calculation (GGA-PBE) on K3NaSb2Se6 after structural relaxation.

Cell: 7.2812 7.2812 8.1322 Å, 98.62 98.62 120.16°
Positions (direct):
K1 0.0000 0.0000 0.0000
K2 0.3401 0.6599 0.0000
K3 0.6599 0.3401 0.0000
Na1 0.5000 0.5000 0.5000
Sb1 0.1675 0.8325 0.5000
Sb2 0.8325 0.1675 0.5000
Se1 0.0754 0.4312 0.2954
Se2 0.2131 0.2131 0.7017
Se3 0.4312 0.0754 0.2954
Se4 0.5688 0.9246 0.7046
Se5 0.7869 0.7869 0.2983
Se6 0.9246 0.5688 0.7046

formation energy from raw total energies	-0.71	eV per atom
raw total energy	-3.524	eV per atom